1.
Material: TaInMo2W
Method: DFT, SCAN
State: single point on PBEsol structure

Structure (POSCAR):
```
TaInMo2W
1.0
4.7037 0.0000 0.0000
0.0000 4.7037 0.0000
0.0000 0.0000 4.8349
Ta In Mo W
1 1 2 1
Direct
0.0000 0.0000 0.0000
0.0000 0.0000 0.5000
0.0000 0.5000 0.5000
0.5000 0.0000 0.5000
0.5000 0.5000 0.0000
```

Computed properties:
Spin magnetization = 0.000 μB/cell
Formation energy = 2846 meV per atom

=====

2.
Material: InTcMo
Method: DFT, SCAN
State: single point on PBEsol structure

Structure (POSCAR):
```
InTcMo
1.0
0.0000 3.0619 3.0619
3.0619 0.0000 3.0619
3.0619 3.0619 0.0000
In Tc Mo
1 1 1
Direct
0.0000 0.0000 0.0000
0.5000 0.5000 0.5000
0.7500 0.7500 0.7500
```

Computed properties:
Spin magnetization = 0.000 μB/cell
Excess energy over the best structure of this formula in the dataset = 45.7 kJ per mole of atoms
Formation energy = 736 meV per atom

=====

3.
Material: InTcMo2
Method: DFT, SCAN
State: single point on PBEsol structure

Structure (POSCAR):
```
InTcMo2
1.0
2.7102 -4.1514 0.0000
2.7102 4.1514 0.0000
0.0000 0.0000 2.8308
In Tc Mo
1 1 2
Direct
0.0000 0.0000 0.0000
0.5000 0.5000 0.0000
0.0000 0.5000 0.5000
0.5000 0.0000 0.5000
```

Computed properties:
Spin magnetization = 0.000 μB/cell
Formation energy = 388 meV per atom

=====

4.
Material: InTc2Mo
Method: DFT, SCAN
State: single point on PBEsol structure

Structure (POSCAR):
```
InTc2Mo
1.0
4.7984 0.0000 0.0000
0.0000 2.8614 0.0000
-1.9143 0.0000 4.5446
In Tc Mo
1 2 1
Direct
0.0000 0.0000 0.0000
0.5000 0.0000 0.5000
0.5000 0.5000 0.0000
0.0000 0.5000 0.5000
```

Computed properties:
Spin magnetization = 0.000 μB/cell
Formation energy = 395 meV per atom

=====

5.
Material: InTc2Mo
Method: DFT, SCAN
State: single point on PBEsol structure

Structure (POSCAR):
```
InTc2Mo
1.0
-1.5652 2.2933 4.3675
1.5652 -2.2933 4.3675
1.5652 2.2933 -4.3675
In Tc Mo
1 2 1
Direct
0.0000 0.0000 0.0000
0.2662 0.7662 0.5000
0.7338 0.2338 0.5000
0.5000 0.5000 0.0000
```

Computed properties:
Spin magnetization = 0.000 μB/cell
Formation energy = 227 meV per atom

=====

6.
Material: InTc2Mo
Method: DFT, SCAN
State: single point on PBEsol structure

Structure (POSCAR):
```
InTc2Mo
1.0
2.8341 0.0000 0.0000
0.0000 4.0330 0.0000
0.0000 0.0000 5.5358
In Tc Mo
1 2 1
Direct
0.0000 0.0000 0.0000
0.0000 0.0000 0.5050
0.5000 0.5000 0.7204
0.5000 0.5000 0.2877
```

Computed properties:
Spin magnetization = 0.000 μB/cell
Formation energy = 216 meV per atom

=====

7.
Material: InTc2Mo
Method: DFT, SCAN
State: single point on PBEsol structure

Structure (POSCAR):
```
InTc2Mo
1.0
1.4313 0.8264 8.8921
-1.4313 0.8264 8.8921
0.0000 -1.6527 8.8921
In Tc Mo
1 2 1
Direct
0.0000 0.0000 0.0000
0.2448 0.2448 0.2448
0.7552 0.7552 0.7552
0.5000 0.5000 0.5000
```

Computed properties:
Spin magnetization = 0.000 μB/cell
Formation energy = 287 meV per atom

=====

8.
Material: InTcMo2
Method: DFT, SCAN
State: single point on PBEsol structure

Structure (POSCAR):
```
InTcMo2
1.0
2.8981 0.0000 0.0000
0.0000 4.0097 0.0000
0.0000 0.0000 5.6520
In Tc Mo
1 1 2
Direct
0.0000 0.0000 0.0000
0.5000 0.5000 0.7107
0.0000 0.0000 0.5054
0.5000 0.5000 0.2900
```

Computed properties:
Spin magnetization = 0.000 μB/cell
Formation energy = 277 meV per atom

=====

9.
Material: InTc2Mo
Method: DFT, SCAN
State: single point on PBEsol structure

Structure (POSCAR):
```
InTc2Mo
1.0
4.4145 0.0000 0.0000
0.0000 4.4145 0.0000
0.0000 0.0000 3.1871
In Tc Mo
1 2 1
Direct
0.0000 0.0000 0.0000
0.0000 0.5000 0.5000
0.5000 0.0000 0.5000
0.5000 0.5000 0.0000
```

Computed properties:
Spin magnetization = 0.003 μB/cell
Formation energy = 240 meV per atom

=====

10.
Material: InTcMo
Method: DFT, SCAN
State: single point on PBEsol structure

Structure (POSCAR):
```
InTcMo
1.0
4.4271 0.0000 0.0000
-2.2136 3.8340 0.0000
0.0000 0.0000 2.8869
In Tc Mo
1 1 1
Direct
0.0000 0.0000 0.0000
0.3333 0.6667 0.6031
0.6667 0.3333 0.4200
```

Computed properties:
Spin magnetization = 0.000 μB/cell
Excess energy over the best structure of this formula in the dataset = 0.0 kJ per mole of atoms
Formation energy = 262 meV per atom

=====

11.
Material: InTc2Mo
Method: DFT, SCAN
State: single point on PBEsol structure

Structure (POSCAR):
```
InTc2Mo
1.0
0.0000 3.1512 3.1512
3.1512 0.0000 3.1512
3.1512 3.1512 0.0000
In Tc Mo
1 2 1
Direct
0.0000 0.0000 0.0000
0.5000 0.5000 0.5000
0.7500 0.7500 0.7500
0.2500 0.2500 0.2500
```

Computed properties:
Spin magnetization = 0.001 μB/cell
Formation energy = 392 meV per atom

=====

12.
Material: InTc2Mo
Method: DFT, SCAN
State: single point on PBEsol structure

Structure (POSCAR):
```
InTc2Mo
1.0
2.8338 0.0000 0.0000
0.0000 2.8338 0.0000
0.0000 0.0000 7.8505
In Tc Mo
1 2 1
Direct
0.0000 0.0000 0.0000
0.0000 0.0000 0.5204
0.5000 0.5000 0.7307
0.5000 0.5000 0.2806
```

Computed properties:
Spin magnetization = 0.000 μB/cell
Formation energy = 159 meV per atom

=====

13.
Material: InTeMo2
Method: DFT, SCAN
State: single point on PBEsol structure

Structure (POSCAR):
```
InTeMo2
1.0
3.2618 0.0000 0.0000
0.0000 3.2618 0.0000
0.0000 0.0000 6.6683
In Te Mo
1 1 2
Direct
0.0000 0.0000 0.0000
0.0000 0.0000 0.5000
0.5000 0.5000 0.2663
0.5000 0.5000 0.7337
```

Computed properties:
Spin magnetization = 0.001 μB/cell
Energy relative to the elements, uncorrected = 1.93 eV/f.u.
Excess energy over the best structure of this formula in the dataset = 16.9 kJ per mole of atoms

=====

14.
Material: InTeMo3
Method: DFT, SCAN
State: single point on PBEsol structure

Structure (POSCAR):
```
InTeMo3
1.0
4.8762 0.0000 0.0000
0.0000 4.8762 0.0000
0.0000 0.0000 4.8762
In Te Mo
1 1 3
Direct
0.0000 0.0000 0.0000
0.5000 0.5000 0.5000
0.0000 0.0000 0.5000
0.0000 0.5000 0.0000
0.5000 0.0000 0.0000
```

Computed properties:
Spin magnetization = 6.453 μB/cell
Energy relative to the elements, uncorrected = 11.57 eV/f.u.

=====

15.
Material: InTe2Mo
Method: DFT, SCAN
State: single point on PBEsol structure

Structure (POSCAR):
```
InTe2Mo
1.0
3.1946 0.0000 0.0000
0.0000 3.1946 0.0000
0.0000 0.0000 9.2627
In Te Mo
1 2 1
Direct
0.0000 0.0000 0.0000
0.0000 0.0000 0.3710
0.5000 0.5000 0.7191
0.5000 0.5000 0.2006
```

Computed properties:
Spin magnetization = 0.002 μB/cell
Energy relative to the elements, uncorrected = 0.62 eV/f.u.

=====

16.
Material: InTe2Mo
Method: DFT, SCAN
State: single point on PBEsol structure

Structure (POSCAR):
```
InTe2Mo
1.0
1.5493 0.8945 11.6503
-1.5493 0.8945 11.6503
0.0000 -1.7890 11.6503
In Te Mo
1 2 1
Direct
0.0000 0.0000 0.0000
0.4231 0.4231 0.4231
0.5769 0.5769 0.5769
0.5000 0.5000 0.5000
```

Computed properties:
Spin magnetization = 0.001 μB/cell
Energy relative to the elements, uncorrected = 2.75 eV/f.u.

=====

17.
Material: InTe2Mo
Method: DFT, SCAN
State: single point on PBEsol structure

Structure (POSCAR):
```
InTe2Mo
1.0
1.6563 0.9563 10.0164
-1.6563 0.9563 10.0164
0.0000 -1.9125 10.0164
In Te Mo
1 2 1
Direct
0.0000 0.0000 0.0000
0.2476 0.2476 0.2476
0.4663 0.4663 0.4663
0.7383 0.7383 0.7383
```

Computed properties:
Spin magnetization = 0.246 μB/cell
Energy relative to the elements, uncorrected = 0.38 eV/f.u.

=====

18.
Material: InTeMo
Method: DFT, SCAN
State: single point on PBEsol structure

Structure (POSCAR):
```
InTeMo
1.0
3.3528 0.0000 0.0000
-1.6764 2.9036 0.0000
0.0000 0.0000 6.5876
In Te Mo
1 1 1
Direct
0.0000 0.0000 0.0000
0.6667 0.3333 0.4081
0.3333 0.6667 0.6829
```

Computed properties:
Spin magnetization = 0.000 μB/cell
Energy relative to the elements, uncorrected = 0.51 eV/f.u.

=====

19.
Material: InTeMo2
Method: DFT, SCAN
State: single point on PBEsol structure

Structure (POSCAR):
```
InTeMo2
1.0
1.6226 0.9368 8.7026
-1.6226 0.9368 8.7026
0.0000 -1.8737 8.7026
In Te Mo
1 1 2
Direct
0.0000 0.0000 0.0000
0.7681 0.7681 0.7681
0.2485 0.2485 0.2485
0.5152 0.5152 0.5152
```

Computed properties:
Spin magnetization = 0.000 μB/cell
Energy relative to the elements, uncorrected = 1.23 eV/f.u.
Excess energy over the best structure of this formula in the dataset = 0.0 kJ per mole of atoms

=====

20.
Material: TiIn3Mo
Method: DFT, SCAN
State: single point on PBEsol structure

Structure (POSCAR):
```
TiIn3Mo
1.0
5.1206 0.0000 0.0000
0.0000 5.1206 0.0000
0.0000 0.0000 5.1206
Ti In Mo
1 3 1
Direct
0.0000 0.0000 0.0000
0.0000 0.0000 0.5000
0.0000 0.5000 0.0000
0.5000 0.0000 0.0000
0.5000 0.5000 0.5000
```

Computed properties:
Spin magnetization = 3.105 μB/cell
Formation energy = 1089 meV per atom

=====

N(E_F), respectively: 1.431, 0.825, 0.825, 1.017, 0.692, 0.702, 0.789, 0.728, 0.943, 0.881, 1.009, 0.549, 1.174, 0.849, 0.489, 1.053, 0.410, 0.673, 0.435, 0.650 states/eV per atom.